# Cs2VZnO4

A relaxed structure of Cs2VZnO4 (PBE+U, the Alexandria database).

POSCAR file:
```
Cs2VZnO4
1.0
0.000 6.404 10.851
2.592 0.000 10.851
2.592 6.404 0.000
Cs V Zn O
4 2 2 8
direct
0.049 0.049 0.701
0.299 0.299 0.951
0.701 0.701 0.049
0.951 0.951 0.299
0.375 0.375 0.375
0.625 0.625 0.625
0.125 0.125 0.125
0.875 0.875 0.875
0.022 0.643 0.559
0.275 0.559 0.643
0.357 0.978 0.725
0.441 0.725 0.978
0.559 0.275 0.022
0.643 0.022 0.275
0.725 0.441 0.357
0.978 0.357 0.441
```

SG: Fddd, No. 70
total moment: 2.00 Bohr magnetons per cell
E: -5.43 eV/atom